Here is a relaxed structure of LaZn2Os from Alexandria via LeMat-Bulk. Energies are from PBE. Values from VASP.

Cell and atoms, written as Quantum ESPRESSO input:
```
&SYSTEM
  ibrav = 0, nat = 12, ntyp = 3
/
ATOMIC_SPECIES
La 138.91 La.upf
Zn 65.41 Zn.upf
Os 190.23 Os.upf
CELL_PARAMETERS angstrom
2.951 0.000 0.000
-1.476 2.556 0.000
0.000 0.000 29.422
ATOMIC_POSITIONS crystal
La 0.000 0.000 0.000
La 0.333 0.667 0.667
La 0.667 0.333 0.333
Zn 0.000 0.000 0.237
Zn 0.000 0.000 0.763
Zn 0.333 0.667 0.430
Zn 0.333 0.667 0.904
Zn 0.667 0.333 0.096
Zn 0.667 0.333 0.570
Os 0.000 0.000 0.500
Os 0.333 0.667 0.167
Os 0.667 0.333 0.833
```

Computed properties:
For the formation energy, the calculation gives 0.368 eV/atom.

---

Here is a relaxed structure of TlReO4 from Alexandria via LeMat-Bulk. Energies are from PBE. Values from VASP.

Cell and atoms, written as Quantum ESPRESSO input:
```
&SYSTEM
  ibrav = 0, nat = 12, ntyp = 3
/
ATOMIC_SPECIES
Tl 204.38 Tl.upf
Re 186.21 Re.upf
O 16.00 O.upf
CELL_PARAMETERS angstrom
7.769 -1.911 0.000
7.769 1.911 0.000
-2.501 0.000 7.985
ATOMIC_POSITIONS crystal
Tl 0.176 0.176 0.268
Tl 0.824 0.824 0.732
Re 0.091 0.091 0.668
Re 0.909 0.909 0.332
O 0.035 0.035 0.388
O 0.124 0.124 0.887
O 0.196 0.196 0.614
O 0.412 0.412 0.347
O 0.588 0.588 0.653
O 0.804 0.804 0.386
O 0.876 0.876 0.113
O 0.965 0.965 0.612
```

Computed properties:
The calculation puts the formation energy without anion corrections at -1370 meV/atom. Its relative energy among the computed polymorphs is 0.163 eV per atom.

---

Here is a relaxed structure of Al2CuNi3 from Alexandria via LeMat-Bulk. Energies are from PBE. Values from VASP.

Cell and atoms, written as Quantum ESPRESSO input:
```
&SYSTEM
  ibrav = 0, nat = 12, ntyp = 3
/
ATOMIC_SPECIES
Al 26.98 Al.upf
Cu 63.55 Cu.upf
Ni 58.69 Ni.upf
CELL_PARAMETERS angstrom
6.911 -3.996 0.000
6.911 3.996 0.000
-0.005 0.000 2.599
ATOMIC_POSITIONS crystal
Al 0.000 0.000 0.000
Al 0.000 0.500 0.000
Al 0.500 0.000 0.000
Al 0.500 0.500 0.000
Cu 0.167 0.167 0.686
Cu 0.833 0.833 0.314
Ni 0.166 0.667 0.675
Ni 0.333 0.333 0.325
Ni 0.333 0.834 0.325
Ni 0.667 0.166 0.675
Ni 0.667 0.667 0.675
Ni 0.834 0.333 0.325
```

Computed properties:
Its relative energy among the computed polymorphs is 0.110 eV per atom. For the formation energy, the calculation gives -0.341 eV/atom.

---

Here is a relaxed structure of TaAlV6 from Alexandria via LeMat-Bulk. Energies are from PBE. Values from VASP.

Cell and atoms, written as Quantum ESPRESSO input:
```
&SYSTEM
  ibrav = 0, nat = 16, ntyp = 3
/
ATOMIC_SPECIES
Ta 180.95 Ta.upf
Al 26.98 Al.upf
V 50.94 V.upf
CELL_PARAMETERS angstrom
4.262 0.000 0.000
0.000 6.173 0.000
0.000 0.000 8.707
ATOMIC_POSITIONS crystal
Ta 0.000 0.000 0.000
Ta 0.000 0.500 0.500
Al 0.500 0.000 0.761
Al 0.500 0.500 0.261
V 0.000 0.000 0.522
V 0.000 0.220 0.263
V 0.000 0.280 0.763
V 0.000 0.500 0.022
V 0.000 0.720 0.763
V 0.000 0.780 0.263
V 0.500 0.000 0.262
V 0.500 0.241 0.509
V 0.500 0.259 0.009
V 0.500 0.500 0.762
V 0.500 0.741 0.009
V 0.500 0.759 0.509
```

Computed properties:
For the formation energy, the calculation gives -0.060 eV/atom.

---

Here is a relaxed structure of RbNa2Hg from Alexandria via LeMat-Bulk. Energies are from PBE. Values from VASP.

Cell and atoms, written as Quantum ESPRESSO input:
```
&SYSTEM
  ibrav = 0, nat = 16, ntyp = 3
/
ATOMIC_SPECIES
Rb 85.47 Rb.upf
Na 22.99 Na.upf
Hg 200.59 Hg.upf
CELL_PARAMETERS angstrom
5.226 0.000 0.000
0.000 5.226 0.000
0.000 0.000 24.732
ATOMIC_POSITIONS crystal
Rb 0.000 0.000 0.000
Rb 0.000 0.500 0.250
Rb 0.500 0.000 0.750
Rb 0.500 0.500 0.500
Na 0.197 0.250 0.625
Na 0.250 0.697 0.875
Na 0.250 0.803 0.375
Na 0.303 0.250 0.125
Na 0.697 0.750 0.125
Na 0.750 0.197 0.375
Na 0.750 0.303 0.875
Na 0.803 0.750 0.625
Hg 0.000 0.000 0.500
Hg 0.000 0.500 0.750
Hg 0.500 0.000 0.250
Hg 0.500 0.500 0.000
```

Computed properties:
For the formation energy, the calculation gives -0.030 eV/atom.

---

Here is a relaxed structure of CuCF2 from Alexandria via LeMat-Bulk. Energies are from PBE. Values from VASP.

Cell and atoms, written as Quantum ESPRESSO input:
```
&SYSTEM
  ibrav = 0, nat = 16, ntyp = 3
/
ATOMIC_SPECIES
Cu 63.55 Cu.upf
C 12.01 C.upf
F 19.00 F.upf
CELL_PARAMETERS angstrom
3.442 0.000 0.000
0.000 3.442 0.000
0.000 0.000 13.664
ATOMIC_POSITIONS crystal
Cu 0.000 0.000 0.000
Cu 0.000 0.500 0.250
Cu 0.500 0.000 0.750
Cu 0.500 0.500 0.500
C 0.000 0.000 0.500
C 0.000 0.500 0.750
C 0.500 0.000 0.250
C 0.500 0.500 0.000
F 0.250 0.250 0.125
F 0.250 0.250 0.625
F 0.250 0.750 0.375
F 0.250 0.750 0.875
F 0.750 0.250 0.375
F 0.750 0.250 0.875
F 0.750 0.750 0.125
F 0.750 0.750 0.625
```

Computed properties:
The calculation puts the formation energy without anion corrections at 580 meV/atom. Its relative energy among the computed polymorphs is 0.063 eV per atom.

---

Here is a relaxed structure of Rb2TeIBr6 from Alexandria via LeMat-Bulk. Energies are from PBE. Values from VASP.

Cell and atoms, written as Quantum ESPRESSO input:
```
&SYSTEM
  ibrav = 0, nat = 20, ntyp = 4
/
ATOMIC_SPECIES
Rb 85.47 Rb.upf
Te 127.60 Te.upf
I 126.90 I.upf
Br 79.90 Br.upf
CELL_PARAMETERS angstrom
3.895 2.249 18.171
-3.895 2.249 18.171
0.000 -4.498 18.171
ATOMIC_POSITIONS crystal
Rb 0.144 0.144 0.144
Rb 0.309 0.309 0.309
Rb 0.691 0.691 0.691
Rb 0.856 0.856 0.856
Te 0.000 0.000 0.000
Te 0.500 0.500 0.500
I 0.405 0.405 0.405
I 0.595 0.595 0.595
Br 0.139 0.637 0.637
Br 0.192 0.192 0.706
Br 0.192 0.706 0.192
Br 0.294 0.808 0.808
Br 0.363 0.363 0.861
Br 0.363 0.861 0.363
Br 0.637 0.139 0.637
Br 0.637 0.637 0.139
Br 0.706 0.192 0.192
Br 0.808 0.294 0.808
Br 0.808 0.808 0.294
Br 0.861 0.363 0.363
```

Computed properties:
The calculation puts the formation energy without anion corrections at -820 meV/atom. Its relative energy among the computed polymorphs is 0.000 eV per atom.

---

Here is a relaxed structure of CrTeRh3 from Alexandria via LeMat-Bulk. Energies are from PBE. Values from VASP.

Cell and atoms, written as Quantum ESPRESSO input:
```
&SYSTEM
  ibrav = 0, nat = 5, ntyp = 3
/
ATOMIC_SPECIES
Cr 52.00 Cr.upf
Te 127.60 Te.upf
Rh 102.91 Rh.upf
CELL_PARAMETERS angstrom
4.517 0.000 0.000
0.000 4.517 0.000
0.000 0.000 4.517
ATOMIC_POSITIONS crystal
Cr 0.000 0.000 0.000
Te 0.500 0.500 0.500
Rh 0.000 0.000 0.500
Rh 0.000 0.500 0.000
Rh 0.500 0.000 0.000
```

Computed properties:
The calculation puts the formation energy without anion corrections at 740 meV/atom. Its relative energy among the computed polymorphs is 0.000 eV per atom.

---

no.,VASP energy (eV per cell)
1,-51.70
2,-85.73
3,-61.94
4,-141.57
5,-16.11
6,-58.97
7,-49.72
8,-31.12